# 1
# CuAgSn

Crystalline CuAgSn at its relaxed geometry (PBE-GGA, the Alexandria database).

## Properties
**ΔH_f (0 K)**: 0.1584 eV/atom

a = 6.068 Å, b = 6.068 Å, c = 6.068 Å
α = 146.03°, β = 81.47°, γ = 108.60°
Sites, in units of the cell vectors:
Cu 0.096 0.250 0.346
Cu 0.904 0.750 0.654
Ag 0.508 0.375 0.633
Ag 0.742 0.875 0.367
Sn 0.129 0.543 0.086
Sn 0.456 0.043 0.914


# 2
# Cu2AgSn2

Crystalline Cu2AgSn2 at its relaxed geometry (PBE-GGA, the Alexandria database).

## Properties
**ΔH_f (0 K)**: 0.3348 eV/atom

a = 6.452 Å, b = 6.452 Å, c = 6.452 Å
α = 141.19°, β = 141.19°, γ = 56.05°
Sites, in units of the cell vectors:
Cu 0.103 0.103 0.000
Cu 0.897 0.897 0.000
Ag 0.500 0.500 0.000
Sn 0.250 0.750 0.500
Sn 0.750 0.250 0.500


One value per record, in order, for offset from the most stable computed form: 0.29, 1.22 eV per formula unit.